1.
An optimized crystal structure of Nb2TlBiTe, computed with PBE.

Properties
uncorrected formation energy = 1.618 eV/atom
E = -21.436 eV for the cell shown
N(E_F) = 5.9 states/eV/f.u.

a b c (Å): 5.4025 5.5588 5.4025
angles (deg): 90.00 90.00 90.00
With the nearest neighbours (Å) after each atom.
Atoms (fractional coordinates):
Bi: 0.0000 0.5000 0.0000  2 Tl 2.78
Tl: 0.0000 0.0000 0.0000  4 Nb 2.70, 2 Bi 2.78
Nb: 0.0000 0.0000 0.5000  2 Tl 2.70
Nb: 0.5000 0.0000 0.0000  2 Tl 2.70
Te: 0.5000 0.5000 0.5000  4 Bi 3.82, 8 Nb 3.88

2.
An optimized crystal structure of NbZnBiTe2, computed with PBE.

Properties
uncorrected formation energy = 0.302 eV/atom
E = -19.997 eV for the cell shown
N(E_F) = 3.1 states/eV/f.u.

a b c (Å): 5.3880 5.6643 5.3880
angles (deg): 90.00 90.00 90.00
With the nearest neighbours (Å) after each atom.
Atoms (fractional coordinates):
Te: 0.5000 0.0000 0.0000  2 Nb 2.69
Te: 0.0000 0.0000 0.5000  2 Nb 2.69
Zn: 0.5000 0.5000 0.5000  4 Bi 3.81, 8 Te 3.91
Bi: 0.0000 0.5000 0.0000  2 Nb 2.83
Nb: 0.0000 0.0000 0.0000  4 Te 2.69, 2 Bi 2.83

3.
An optimized crystal structure of TiNbBi, computed with PBE.

Properties
E = -43.751 eV for the cell shown
energy above the most stable polymorph in this dataset = 0.008 eV/atom
N(E_F) = 1.5 states/eV/f.u.

a b c (Å): 3.5945 5.2815 9.8997
angles (deg): 46.35 90.00 109.89
With the nearest neighbours (Å) after each atom.
Atoms (fractional coordinates):
Ti: 0.0820 0.1640 0.0928  2 Nb 2.89, 3 Ti 2.96-3.23, 5 Bi 2.96-3.00
Ti: 0.9180 0.8360 0.9072  2 Nb 2.89, 3 Ti 2.96-3.23, 5 Bi 2.96-3.00
Bi: 0.2536 0.5072 0.2416  5 Ti 2.96-3.00, 5 Nb 3.04-3.05
Bi: 0.7464 0.4928 0.7584  5 Ti 2.96-3.00, 5 Nb 3.04-3.05
Nb: 0.5920 0.1839 0.5837  2 Nb 2.86, 2 Ti 2.89, 5 Bi 3.04-3.05
Nb: 0.4080 0.8161 0.4163  2 Nb 2.86, 2 Ti 2.89, 5 Bi 3.04-3.05

Magnetization per entry: 4.8, 0.0, 0.0 μB per cell